1.
A relaxed Tb3NdS4 crystal. Source: the Alexandria database, functional PBE.

Properties
- magnetic moment (μB per formula unit) = 0.00
- formation energy from raw total energies (meV/atom) = -2009

CIF file:
```
data_Tb3NdS4
_chemical_formula_sum 'Tb6 Nd2 S8'
_symmetry_space_group_name_H-M 'C m m m'
_symmetry_Int_Tables_number 65
_symmetry_space_group_name_Hall '-C 2 2'
_cell_length_a 8.0022
_cell_length_b 11.2180
_cell_length_c 3.9247
_cell_angle_alpha 90.00
_cell_angle_beta 90.00
_cell_angle_gamma 90.00
loop_
_atom_site_label
_atom_site_fract_x
_atom_site_fract_y
_atom_site_fract_z
Tb1 0.0000 0.0000 0.0000
Tb2 0.2500 0.2500 0.5000
Nd1 0.0000 0.5000 0.0000
S1 0.0000 0.2457 0.0000
S2 0.2411 0.0000 0.5000
```

=====

2.
A relaxed LiAsPbSe2 crystal. Source: the Alexandria database, functional PBE.

Properties
- magnetic moment (μB per formula unit) = 0.00
- formation energy from raw total energies (meV/atom) = 66

CIF file:
```
data_LiAsPbSe2
_chemical_formula_sum 'Li1 As1 Pb1 Se2'
_symmetry_space_group_name_H-M 'P 4/m m m'
_symmetry_Int_Tables_number 123
_symmetry_space_group_name_Hall '-P 4 2'
_cell_length_a 5.0762
_cell_length_b 5.0762
_cell_length_c 4.4399
_cell_angle_alpha 90.00
_cell_angle_beta 90.00
_cell_angle_gamma 90.00
loop_
_atom_site_label
_atom_site_fract_x
_atom_site_fract_y
_atom_site_fract_z
Li1 0.0000 0.0000 0.0000
As1 0.0000 0.0000 0.5000
Pb1 0.5000 0.5000 0.5000
Se1 0.0000 0.5000 0.0000
```

=====

3.
A relaxed SrYReN4 crystal. Source: the Alexandria database, functional PBE.

Properties
- magnetic moment (μB per formula unit) = 0.00
- formation energy from raw total energies (meV/atom) = -875

CIF file:
```
data_SrYReN4
_chemical_formula_sum 'Sr2 Y2 Re2 N8'
_symmetry_space_group_name_H-M 'P 1 21/m 1'
_symmetry_Int_Tables_number 11
_symmetry_space_group_name_Hall '-P 2yb'
_cell_length_a 5.8929
_cell_length_b 5.9521
_cell_length_c 7.0596
_cell_angle_alpha 90.00
_cell_angle_beta 106.63
_cell_angle_gamma 90.00
loop_
_atom_site_label
_atom_site_fract_x
_atom_site_fract_y
_atom_site_fract_z
Sr1 0.2230 0.2500 0.4305
Y1 0.3034 0.2500 0.9595
Re1 0.2404 0.7500 0.1768
N1 0.0408 0.7500 0.3332
N2 0.0500 0.7500 0.9273
N3 0.4476 0.5090 0.2150
```

=====

4.
A relaxed Mg4Si3 crystal. Source: the Alexandria database, functional PBE.

Properties
- magnetic moment (μB per formula unit) = 0.00
- formation energy from raw total energies (meV/atom) = 14

CIF file:
```
data_Mg4Si3
_chemical_formula_sum 'Mg8 Si6'
_symmetry_space_group_name_H-M 'P 1'
_symmetry_Int_Tables_number 1
_symmetry_space_group_name_Hall 'P 1'
_cell_length_a 5.9419
_cell_length_b 7.3762
_cell_length_c 7.6536
_cell_angle_alpha 118.46
_cell_angle_beta 112.62
_cell_angle_gamma 90.23
loop_
_atom_site_label
_atom_site_fract_x
_atom_site_fract_y
_atom_site_fract_z
Mg1 0.0000 0.0000 0.0000
Mg2 0.0331 0.9398 0.5552
Mg3 0.1245 0.5403 0.7421
Mg4 0.1841 0.4930 0.3477
Mg5 0.5002 0.3268 0.9932
Mg6 0.5465 0.9564 0.5839
Mg7 0.6404 0.5533 0.7744
Mg8 0.6771 0.1842 0.3510
Si1 0.1209 0.7218 0.1516
Si2 0.2352 0.1926 0.4580
Si3 0.4491 0.9136 0.8950
Si4 0.5411 0.7586 0.1554
Si5 0.7248 0.5922 0.4502
Si6 0.9527 0.3107 0.8915
```

=====

5.
A relaxed LiGaPd3 crystal. Source: the Alexandria database, functional PBE.

Properties
- magnetic moment (μB per formula unit) = 0.00
- formation energy (eV/atom) = -0.510

CIF file:
```
data_LiGaPd3
_chemical_formula_sum 'Li2 Ga2 Pd6'
_symmetry_space_group_name_H-M 'P 1 21/m 1'
_symmetry_Int_Tables_number 11
_symmetry_space_group_name_Hall '-P 2yb'
_cell_length_a 5.1184
_cell_length_b 4.3217
_cell_length_c 6.7554
_cell_angle_alpha 90.00
_cell_angle_beta 105.06
_cell_angle_gamma 90.00
loop_
_atom_site_label
_atom_site_fract_x
_atom_site_fract_y
_atom_site_fract_z
Li1 0.0515 0.2500 0.3581
Ga1 0.4384 0.2500 0.1664
Pd1 0.1774 0.7500 0.0327
Pd2 0.2526 0.2500 0.7582
Pd3 0.3262 0.7500 0.4575
```

=====

6.
A relaxed TaTl2Cd crystal. Source: the Alexandria database, functional PBE.

Properties
- magnetic moment (μB per formula unit) = 0.41
- formation energy (eV/atom) = 0.645

CIF file:
```
data_TaTl2Cd
_chemical_formula_sum 'Ta1 Tl2 Cd1'
_symmetry_space_group_name_H-M 'P 4/m m m'
_symmetry_Int_Tables_number 123
_symmetry_space_group_name_Hall '-P 4 2'
_cell_length_a 3.6949
_cell_length_b 3.6949
_cell_length_c 6.6526
_cell_angle_alpha 90.00
_cell_angle_beta 90.00
_cell_angle_gamma 90.00
loop_
_atom_site_label
_atom_site_fract_x
_atom_site_fract_y
_atom_site_fract_z
Ta1 0.0000 0.0000 0.0000
Tl1 0.5000 0.5000 0.2408
Cd1 0.0000 0.0000 0.5000
```

=====

Q: magnetic moment of number 1 (Tb3NdS4)?
A: 0.00 μB per formula unit